This record from OQMD via LeMat-Bulk describes a geometry-optimized PmBiPt structure. The functional is PBE.

The structure belongs to space group F-43m (No. 216); the cell edges are 6.8344, 6.8344 and 6.8344 Å and the angles 90.00°, 90.00° and 90.00°. Symmetry generates all atoms from Pm at (0.0000, 0.0000, 0.0000), Bi at (0.0000, 0.0000, 0.5000) and Pt at (0.2500, 0.2500, 0.7500).

The calculation puts the calculated total energy at -71.83 eV for the cell shown.

---

This record from OQMD via LeMat-Bulk describes a geometry-optimized CoSiGe structure. The functional is PBE.

The structure belongs to space group F-43m (No. 216); the cell edges are 5.5924, 5.5924 and 5.5924 Å and the angles 90.00°, 90.00° and 90.00°. Symmetry generates all atoms from Co at (0.0000, 0.0000, 0.0000), Si at (0.2500, 0.2500, 0.2500) and Ge at (0.0000, 0.0000, 0.5000).

The calculation puts the calculated total energy at -65.54 eV for the cell shown.

---

This record from OQMD via LeMat-Bulk describes a geometry-optimized DyHgPO structure. The functional is PBE.

The structure belongs to space group Pmc2_1 (No. 26); the cell edges are 4.2270, 6.8587 and 5.9503 Å and the angles 90.00°, 90.00° and 90.00°. Symmetry generates all atoms from Dy at (0.0000, 0.2044, 0.0000), Hg at (0.5000, 0.3717, 0.4988), P at (0.0000, 0.1993, 0.4993) and O at (0.5000, 0.2867, 0.9985).

The calculation puts the calculated total energy at -40.90 eV for the cell shown.

---

This record from OQMD via LeMat-Bulk describes a geometry-optimized TmZnTe3Pb structure. The functional is PBE.

The structure belongs to space group Cmcm (No. 63); the cell edges are 4.3416, 14.7554 and 11.1758 Å and the angles 90.00°, 90.00° and 90.00°. Symmetry generates all atoms from Tm at (0.0000, 0.0000, 0.0000), Zn at (0.0000, 0.4710, 0.2500), Te at (0.0000, 0.0881, 0.2500), Te at (0.0000, 0.3583, 0.0514) and Pb at (0.0000, 0.2174, 0.7500).

The calculation puts the calculated total energy at -91.18 eV for the cell shown.

---

This record from OQMD via LeMat-Bulk describes a geometry-optimized PaReNO structure. The functional is PBE.

The structure belongs to space group Cmme (No. 67); the cell edges are 5.3595, 5.4824 and 7.7826 Å and the angles 90.00°, 90.00° and 90.00°. Symmetry generates all atoms from Pa at (0.0000, 0.2500, 0.1775), Re at (0.2500, 0.0000, 0.5000), N at (0.0000, 0.2500, 0.6281) and O at (0.2500, 0.0000, 0.0000).

The calculation puts the calculated total energy at -151.59 eV for the cell shown.

---

This record from OQMD via LeMat-Bulk describes a geometry-optimized RbZnPt structure. The functional is PBE.

The structure belongs to space group F-43m (No. 216); the cell edges are 6.8736, 6.8736 and 6.8736 Å and the angles 90.00°, 90.00° and 90.00°. Symmetry generates all atoms from Rb at (0.0000, 0.0000, 0.0000), Zn at (0.2500, 0.2500, 0.7500) and Pt at (0.0000, 0.0000, 0.5000).

The calculation puts the calculated total energy at -28.34 eV for the cell shown.

---

This record from OQMD via LeMat-Bulk describes a geometry-optimized NaDySeO structure. The functional is PBE.

The structure belongs to space group P4/nmm (No. 129, origin choice 2); the cell edges are 3.9960, 3.9960 and 9.4946 Å and the angles 90.00°, 90.00° and 90.00°. Symmetry generates all atoms from Na at (0.2500, 0.7500, 0.0000), Dy at (0.2500, 0.2500, 0.3886), Se at (0.2500, 0.2500, 0.7919) and O at (0.2500, 0.7500, 0.5000).

The calculation puts the calculated total energy at -46.45 eV for the cell shown.

---

This record from OQMD via LeMat-Bulk describes a geometry-optimized HfScW2 structure. The functional is PBE.

The structure belongs to space group F-43m (No. 216); the cell edges are 6.6170, 6.6170 and 6.6170 Å and the angles 90.00°, 90.00° and 90.00°. Symmetry generates all atoms from Hf at (0.0000, 0.0000, 0.0000), Sc at (0.2500, 0.2500, 0.7500), W at (0.0000, 0.0000, 0.5000) and W at (0.2500, 0.2500, 0.2500).

The calculation puts the calculated total energy at -165.65 eV for the cell shown. Its calculated formation energy is 0.8 eV per formula unit.